No. 1
# Al2OsSe GGA-PBE optimized geometry
# ΔE_f (raw)	0.32	eV per atom
# E	-41.84	eV/cell
# DOS at the Fermi energy	2.8	states/eV/f.u.
data_Al2OsSe
_chemical_formula_sum 'Al4 Os2 Se2'
_cell_length_a 2.8926
_cell_length_b 5.0215
_cell_length_c 9.5336
_cell_angle_alpha 90.00
_cell_angle_beta 90.00
_cell_angle_gamma 90.00
_space_group_name_H-M_alt 'C m m 2'
_space_group_IT_number 35
loop_
_space_group_symop_operation_xyz
'x,y,z'
'-x,-y,z'
'-x,y,z'
'x,-y,z'
'x+1/2,y+1/2,z'
'-x+1/2,-y+1/2,z'
'-x+1/2,y+1/2,z'
'x+1/2,-y+1/2,z'
loop_
_atom_site_label
_atom_site_type_symbol
_atom_site_fract_x
_atom_site_fract_y
_atom_site_fract_z
_atom_site_occupancy
Al1 Al 0.0000 0.0000 0.0000 1
Al2 Al 0.0000 0.5000 0.2487 1
Os1 Os 0.0000 0.0000 0.4696 1
Se1 Se 0.0000 0.5000 0.6872 1

---

No. 2
# ZnMoPb GGA-PBE optimized geometry
# DFT formation energy	0.8283	eV/atom
# relative energy among the computed polymorphs	272	meV per atom
# E	-53.31	eV/cell
# DOS at the Fermi energy	1.2	states/eV/f.u.
data_ZnMoPb
_chemical_formula_sum 'Zn4 Mo4 Pb4'
_cell_length_a 6.5064
_cell_length_b 6.5064
_cell_length_c 6.5064
_cell_angle_alpha 90.00
_cell_angle_beta 90.00
_cell_angle_gamma 90.00
_space_group_name_H-M_alt 'F -4 3 m'
_space_group_IT_number 216
_space_group_name_Hall 'F -4 2 3'
loop_
_atom_site_label
_atom_site_type_symbol
_atom_site_fract_x
_atom_site_fract_y
_atom_site_fract_z
_atom_site_occupancy
Zn1 Zn 0.0000 0.0000 0.0000 1
Mo1 Mo 0.2500 0.2500 0.2500 1
Pb1 Pb 0.0000 0.0000 0.5000 1

---

No. 3
# Zr2N2O GGA-PBE optimized geometry
# ΔE_f (raw)	-1.99	eV per atom
# E	-584.04	eV/cell
# DOS at the Fermi energy	0.0	states/eV/f.u.
data_Zr2N2O
_chemical_formula_sum 'Zr24 N24 O12'
_cell_length_a 13.6801
_cell_length_b 3.3547
_cell_length_c 16.6566
_cell_angle_alpha 90.00
_cell_angle_beta 100.75
_cell_angle_gamma 90.00
_space_group_name_H-M_alt 'C 1 2/m 1'
_space_group_IT_number 12
loop_
_space_group_symop_operation_xyz
'x,y,z'
'-x,-y,-z'
'-x,y,-z'
'x,-y,z'
'x+1/2,y+1/2,z'
'-x+1/2,-y+1/2,-z'
'-x+1/2,y+1/2,-z'
'x+1/2,-y+1/2,z'
loop_
_atom_site_label
_atom_site_type_symbol
_atom_site_fract_x
_atom_site_fract_y
_atom_site_fract_z
_atom_site_occupancy
Zr1 Zr 0.0317 0.0000 0.1545 1
Zr2 Zr 0.0361 0.0000 0.6522 1
Zr3 Zr 0.1286 0.5000 0.9873 1
Zr4 Zr 0.1344 0.5000 0.4966 1
Zr5 Zr 0.1942 0.5000 0.8172 1
Zr6 Zr 0.1972 0.5000 0.3155 1
N1 N 0.0254 0.5000 0.5778 1
N2 N 0.0353 0.5000 0.0790 1
N3 N 0.1261 0.0000 0.8946 1
N4 N 0.1709 0.0000 0.7359 1
N5 N 0.1747 0.0000 0.2342 1
N6 N 0.2034 0.0000 0.5630 1
O1 O 0.0013 0.5000 0.2506 1
O2 O 0.1260 0.0000 0.3872 1
O3 O 0.2097 0.0000 0.0598 1

---

no.,M_tot (μB/f.u.)
1,0.00
2,2.21
3,0.00